Record 1
Density functional theory data (PBE) for crystalline Tl2Ag2AsSe4 at its relaxed geometry.

Formation energy from raw total energies: -145 meV/atom
ρ: 7.37 g cm⁻³
Final energy: -3.37 eV/atom
Magnetic moment: 0.00 μB per formula unit

Unit cell a=4.0162 b=8.2049 c=7.7947 alpha=112.52 beta=90.00 gamma=104.17
Last column: nearest neighbours and their distance in Å.
Fractional positions:
Se1 0.1880 0.3760 0.1963  3 Ag 2.69-2.79, 1 As 2.77
Se2 0.4958 0.9917 0.2391  1 Ag 2.64, 2 As 2.76
Se3 0.5042 0.0083 0.7609  1 Ag 2.64, 2 As 2.76
Se4 0.8120 0.6240 0.8037  3 Ag 2.69-2.79, 1 As 2.77
Ag1 0.3180 0.6359 0.0385  4 Se 2.64-2.79, 2 Ag 2.84
Ag2 0.6820 0.3641 0.9615  4 Se 2.64-2.79, 2 Ag 2.84
As1 0.0000 0.0000 0.0000  6 Se 2.76-2.77
Tl1 0.8668 0.7336 0.4367  7 Se 3.29-3.62, 2 Ag 3.52
Tl2 0.1332 0.2664 0.5633  7 Se 3.29-3.62, 2 Ag 3.52

Record 2
Density functional theory data (PBE) for crystalline TlAgAsSe2 at its relaxed geometry.

Formation energy from raw total energies: 427 meV/atom
ρ: 6.49 g cm⁻³
Final energy: -2.94 eV/atom
Offset from the most stable computed form: 198.0 kJ/mol of formula units
Magnetic moment: 0.00 μB per formula unit

Unit cell a=5.3150 b=5.3150 c=4.9386 alpha=90.00 beta=90.00 gamma=90.00
Last column: nearest neighbours and their distance in Å.
Fractional positions:
Se1 0.0000 0.5000 0.0000  2 Ag 2.66
Se2 0.5000 0.0000 0.0000  2 Ag 2.66
As1 0.0000 0.0000 0.5000  2 Ag 2.47
Ag1 0.0000 0.0000 0.0000  2 As 2.47, 4 Se 2.66
Tl1 0.5000 0.5000 0.5000  8 Se 3.63, 4 As 3.76

Record 3
Density functional theory data (PBE) for crystalline VAgAs2Se at its relaxed geometry.

Formation energy from raw total energies: 262 meV/atom
ρ: 5.88 g cm⁻³
Final energy: -4.69 eV/atom
Offset from the most stable computed form: 0.0 kJ/mol of formula units
Magnetic moment: 0.00 μB per formula unit

Unit cell a=4.7873 b=4.7873 c=4.7750 alpha=90.00 beta=90.00 gamma=90.00
Last column: nearest neighbours and their distance in Å.
Fractional positions:
As1 0.0000 0.5000 0.0000  2 V 2.39
As2 0.5000 0.0000 0.0000  2 V 2.39
Se1 0.0000 0.0000 0.5000  2 V 2.39
V1 0.0000 0.0000 0.0000  2 Se 2.39, 4 As 2.39
Ag1 0.5000 0.5000 0.5000  8 As 3.38, 4 Se 3.39

Record 4
Density functional theory data (PBE) for crystalline AgAs2WSe at its relaxed geometry.

Formation energy from raw total energies: 1596 meV/atom
ρ: 7.26 g cm⁻³
Final energy: -4.12 eV/atom
Offset from the most stable computed form: 500.0 kJ/mol of formula units
Magnetic moment: 2.71 μB per formula unit

Unit cell a=4.8751 b=4.8751 c=5.0083 alpha=90.00 beta=90.00 gamma=90.00
Last column: nearest neighbours and their distance in Å.
Fractional positions:
Ag1 0.0000 0.0000 0.0000  4 As 2.44, 2 Se 2.50
As1 0.0000 0.5000 0.0000  2 Ag 2.44
As2 0.5000 0.0000 0.0000  2 Ag 2.44
W1 0.5000 0.5000 0.5000  4 Se 3.45, 8 As 3.49
Se1 0.0000 0.0000 0.5000  2 Ag 2.50

Record 5
Density functional theory data (PBE) for crystalline AgAs2WSe at its relaxed geometry.

Formation energy from raw total energies: 560 meV/atom
ρ: 7.23 g cm⁻³
Final energy: -5.16 eV/atom
Offset from the most stable computed form: 0.0 kJ/mol of formula units
Magnetic moment: 0.00 μB per formula unit

Unit cell a=4.9445 b=4.9445 c=4.8929 alpha=90.00 beta=90.00 gamma=90.00
Last column: nearest neighbours and their distance in Å.
Fractional positions:
As1 0.0000 0.5000 0.0000  2 W 2.47
As2 0.5000 0.0000 0.0000  2 W 2.47
Ag1 0.5000 0.5000 0.5000  8 As 3.48, 4 Se 3.50
W1 0.0000 0.0000 0.0000  2 Se 2.45, 4 As 2.47
Se1 0.0000 0.0000 0.5000  2 W 2.45

Record 6
Density functional theory data (PBE) for crystalline AgAsWSe2 at its relaxed geometry.

Formation energy from raw total energies: 483 meV/atom
ρ: 7.20 g cm⁻³
Final energy: -5.00 eV/atom
Offset from the most stable computed form: 0.0 kJ/mol of formula units
Magnetic moment: 0.00 μB per formula unit

Unit cell a=4.9377 b=4.9377 c=4.9623 alpha=90.00 beta=90.00 gamma=90.00
Last column: nearest neighbours and their distance in Å.
Fractional positions:
W1 0.0000 0.0000 0.0000  4 Se 2.47, 2 As 2.48
Se1 0.5000 0.0000 0.0000  2 W 2.47
Se2 0.0000 0.5000 0.0000  2 W 2.47
As1 0.0000 0.0000 0.5000  2 W 2.48
Ag1 0.5000 0.5000 0.5000  4 As 3.49, 8 Se 3.50

Record 7
Density functional theory data (PBE) for crystalline AgAsWSe2 at its relaxed geometry.

Formation energy from raw total energies: 1525 meV/atom
ρ: 7.18 g cm⁻³
Final energy: -3.96 eV/atom
Offset from the most stable computed form: 502.9 kJ/mol of formula units
Magnetic moment: 2.47 μB per formula unit

Unit cell a=4.9775 b=4.9775 c=4.8962 alpha=90.00 beta=90.00 gamma=90.00
Last column: nearest neighbours and their distance in Å.
Fractional positions:
As1 0.0000 0.0000 0.5000  2 Ag 2.45
Se1 0.5000 0.0000 0.0000  2 Ag 2.49
Se2 0.0000 0.5000 0.0000  2 Ag 2.49
W1 0.5000 0.5000 0.5000  8 Se 3.49, 4 As 3.52
Ag1 0.0000 0.0000 0.0000  2 As 2.45, 4 Se 2.49

Record 8
Density functional theory data (PBE) for crystalline YAg2AsSe4 at its relaxed geometry.

Formation energy from raw total energies: -601 meV/atom
ρ: 6.21 g cm⁻³
Final energy: -4.45 eV/atom
Magnetic moment: 0.00 μB per formula unit

Unit cell a=4.0667 b=6.9162 c=7.0405 alpha=70.01 beta=90.00 gamma=90.00
Last column: nearest neighbours and their distance in Å.
Fractional positions:
Se1 0.5000 0.2587 0.7592  1 As 2.76, 3 Ag 2.85-2.96, 2 Y 2.86
Se2 0.5000 0.7413 0.2408  1 As 2.76, 3 Ag 2.85-2.96, 2 Y 2.86
Se3 0.0000 0.2595 0.2363  2 As 2.79, 3 Ag 2.83-2.92, 1 Y 2.89
Se4 0.0000 0.7405 0.7637  2 As 2.79, 3 Ag 2.83-2.92, 1 Y 2.89
As1 0.5000 0.5000 0.0000  6 Se 2.76-2.79
Ag1 0.5000 0.0000 0.5000  6 Se 2.92-2.96
Ag2 0.0000 0.0000 0.0000  6 Se 2.83-2.85
Y1 0.0000 0.5000 0.5000  6 Se 2.86-2.89

Record 9
Density functional theory data (PBE) for crystalline YAgAsSe2 at its relaxed geometry.

Formation energy from raw total energies: -80 meV/atom
ρ: 5.64 g cm⁻³
Final energy: -4.27 eV/atom
Offset from the most stable computed form: 0.0 kJ/mol of formula units
Magnetic moment: 0.00 μB per formula unit

Unit cell a=5.0638 b=5.0638 c=4.9336 alpha=90.00 beta=90.00 gamma=90.00
Last column: nearest neighbours and their distance in Å.
Fractional positions:
Ag1 0.0000 0.0000 0.0000  2 As 2.47, 4 Se 2.53
As1 0.0000 0.0000 0.5000  2 Ag 2.47
Se1 0.0000 0.5000 0.0000  2 Ag 2.53
Se2 0.5000 0.0000 0.0000  2 Ag 2.53
Y1 0.5000 0.5000 0.5000  8 Se 3.53, 4 As 3.58

Record 10
Density functional theory data (PBE) for crystalline YAgAsSe2 at its relaxed geometry.

Formation energy from raw total energies: 42 meV/atom
ρ: 4.37 g cm⁻³
Final energy: -4.14 eV/atom
Offset from the most stable computed form: 58.9 kJ/mol of formula units
Magnetic moment: 1.00 μB per formula unit

Unit cell a=5.4457 b=5.4457 c=5.5071 alpha=90.00 beta=90.00 gamma=90.00
Last column: nearest neighbours and their distance in Å.
Fractional positions:
Ag1 0.5000 0.5000 0.5000  4 As 3.85, 8 Se 3.87
Y1 0.0000 0.0000 0.0000  4 Se 2.72, 2 As 2.75
As1 0.0000 0.0000 0.5000  2 Y 2.75
Se1 0.5000 0.0000 0.0000  2 Y 2.72
Se2 0.0000 0.5000 0.0000  2 Y 2.72

Record 11
Density functional theory data (PBE) for crystalline ZnAgAsSe2 at its relaxed geometry.

Formation energy from raw total energies: 782 meV/atom
ρ: 5.17 g cm⁻³
Final energy: -2.37 eV/atom
Offset from the most stable computed form: 100.9 kJ/mol of formula units
Magnetic moment: 0.00 μB per formula unit

Unit cell a=5.1371 b=5.1371 c=4.9437 alpha=90.00 beta=90.00 gamma=90.00
Last column: nearest neighbours and their distance in Å.
Fractional positions:
As1 0.0000 0.0000 0.5000  2 Ag 2.47
Ag1 0.0000 0.0000 0.0000  2 As 2.47, 4 Se 2.57
Zn1 0.5000 0.5000 0.5000  8 Se 3.56, 4 As 3.63
Se1 0.5000 0.0000 0.0000  2 Ag 2.57
Se2 0.0000 0.5000 0.0000  2 Ag 2.57

Record 12
Density functional theory data (PBE) for crystalline ZnAgAs2Se at its relaxed geometry.

Formation energy from raw total energies: 685 meV/atom
ρ: 5.68 g cm⁻³
Final energy: -2.70 eV/atom
Offset from the most stable computed form: 0.0 kJ/mol of formula units
Magnetic moment: 0.00 μB per formula unit

Unit cell a=4.8040 b=4.8040 c=5.0974 alpha=90.00 beta=90.00 gamma=90.00
Last column: nearest neighbours and their distance in Å.
Fractional positions:
Se1 0.0000 0.0000 0.5000  2 Zn 2.55
Zn1 0.0000 0.0000 0.0000  4 As 2.40, 2 Se 2.55
Ag1 0.5000 0.5000 0.5000  4 Se 3.40, 8 As 3.50
As1 0.0000 0.5000 0.0000  2 Zn 2.40
As2 0.5000 0.0000 0.0000  2 Zn 2.40

Record 13
Density functional theory data (PBE) for crystalline ZnAgAsSe2 at its relaxed geometry.

Formation energy from raw total energies: 573 meV/atom
ρ: 5.61 g cm⁻³
Final energy: -2.58 eV/atom
Offset from the most stable computed form: 0.0 kJ/mol of formula units
Magnetic moment: 0.00 μB per formula unit

Unit cell a=5.0512 b=5.0512 c=4.7100 alpha=90.00 beta=90.00 gamma=90.00
Last column: nearest neighbours and their distance in Å.
Fractional positions:
Zn1 0.0000 0.0000 0.0000  2 As 2.35, 4 Se 2.53
Ag1 0.5000 0.5000 0.5000  8 Se 3.45, 4 As 3.57
As1 0.0000 0.0000 0.5000  2 Zn 2.35
Se1 0.0000 0.5000 0.0000  2 Zn 2.53
Se2 0.5000 0.0000 0.0000  2 Zn 2.53

Record 14
Density functional theory data (PBE) for crystalline ZnAgAs2Se at its relaxed geometry.

Formation energy from raw total energies: 882 meV/atom
ρ: 5.17 g cm⁻³
Final energy: -2.50 eV/atom
Offset from the most stable computed form: 95.1 kJ/mol of formula units
Magnetic moment: 0.66 μB per formula unit

Unit cell a=5.0172 b=5.0172 c=5.1302 alpha=90.00 beta=90.00 gamma=90.00
Last column: nearest neighbours and their distance in Å.
Fractional positions:
Zn1 0.5000 0.5000 0.5000  4 Se 3.55, 8 As 3.59
As1 0.0000 0.5000 0.0000  2 Ag 2.51
As2 0.5000 0.0000 0.0000  2 Ag 2.51
Ag1 0.0000 0.0000 0.0000  4 As 2.51, 2 Se 2.57
Se1 0.0000 0.0000 0.5000  2 Ag 2.57

Record 15
Density functional theory data (PBE) for crystalline ZrAgAs2Se at its relaxed geometry.

Formation energy from raw total energies: 600 meV/atom
ρ: 5.93 g cm⁻³
Final energy: -4.24 eV/atom
Offset from the most stable computed form: 202.6 kJ/mol of formula units
Magnetic moment: 0.00 μB per formula unit

Unit cell a=4.8937 b=4.8937 c=5.0056 alpha=90.00 beta=90.00 gamma=90.00
Last column: nearest neighbours and their distance in Å.
Fractional positions:
Zr1 0.5000 0.5000 0.5000  4 Se 3.46, 8 As 3.50
Se1 0.0000 0.0000 0.5000  2 Ag 2.50
Ag1 0.0000 0.0000 0.0000  4 As 2.45, 2 Se 2.50
As1 0.5000 0.0000 0.0000  2 Ag 2.45
As2 0.0000 0.5000 0.0000  2 Ag 2.45

Record 16
Density functional theory data (PBE) for crystalline ZrAgAs2Se at its relaxed geometry.

Formation energy from raw total energies: 614 meV/atom
ρ: 5.56 g cm⁻³
Final energy: -4.22 eV/atom
Offset from the most stable computed form: 209.3 kJ/mol of formula units
Magnetic moment: 0.00 μB per formula unit

Unit cell a=5.0756 b=4.9639 c=5.0756 alpha=90.00 beta=90.00 gamma=90.00
Last column: nearest neighbours and their distance in Å.
Fractional positions:
Se1 0.0000 0.0000 0.0000  2 Zr 2.48, 4 As 2.54
Zr1 0.0000 0.5000 0.0000  2 Se 2.48
Ag1 0.5000 0.5000 0.5000  8 As 3.55, 4 Zr 3.59
As1 0.0000 0.0000 0.5000  2 Se 2.54
As2 0.5000 0.0000 0.0000  2 Se 2.54

Record 17
Density functional theory data (PBE) for crystalline ZrAgAs2Se at its relaxed geometry.

Formation energy from raw total energies: 180 meV/atom
ρ: 5.03 g cm⁻³
Final energy: -4.66 eV/atom
Offset from the most stable computed form: 0.0 kJ/mol of formula units
Magnetic moment: 0.00 μB per formula unit

Unit cell a=5.2167 b=5.2167 c=5.1875 alpha=90.00 beta=90.00 gamma=90.00
Last column: nearest neighbours and their distance in Å.
Fractional positions:
As1 0.0000 0.5000 0.0000  2 Zr 2.61
As2 0.5000 0.0000 0.0000  2 Zr 2.61
Se1 0.0000 0.0000 0.5000  2 Zr 2.59
Ag1 0.5000 0.5000 0.5000  8 As 3.68, 4 Se 3.69
Zr1 0.0000 0.0000 0.0000  2 Se 2.59, 4 As 2.61

Record 18
Density functional theory data (PBE) for crystalline ZrAgAsSe2 at its relaxed geometry.

Formation energy from raw total energies: 492 meV/atom
ρ: 5.91 g cm⁻³
Final energy: -4.11 eV/atom
Offset from the most stable computed form: 257.0 kJ/mol of formula units
Magnetic moment: 0.00 μB per formula unit

Unit cell a=4.9525 b=4.9525 c=4.9497 alpha=90.00 beta=90.00 gamma=90.00
Last column: nearest neighbours and their distance in Å.
Fractional positions:
Se1 0.5000 0.0000 0.0000  2 Ag 2.48
Se2 0.0000 0.5000 0.0000  2 Ag 2.48
Zr1 0.5000 0.5000 0.5000  8 Se 3.50, 4 As 3.50
As1 0.0000 0.0000 0.5000  2 Ag 2.47
Ag1 0.0000 0.0000 0.0000  2 As 2.47, 4 Se 2.48

Record 19
Density functional theory data (PBE) for crystalline ZrAgAsSe2 at its relaxed geometry.

Formation energy from raw total energies: -41 meV/atom
ρ: 5.04 g cm⁻³
Final energy: -4.64 eV/atom
Offset from the most stable computed form: 0.0 kJ/mol of formula units
Magnetic moment: 0.00 μB per formula unit

Unit cell a=5.2081 b=5.2081 c=5.2421 alpha=90.00 beta=90.00 gamma=90.00
Last column: nearest neighbours and their distance in Å.
Fractional positions:
Zr1 0.0000 0.0000 0.0000  4 Se 2.60, 2 As 2.62
Se1 0.5000 0.0000 0.0000  2 Zr 2.60
Se2 0.0000 0.5000 0.0000  2 Zr 2.60
As1 0.0000 0.0000 0.5000  2 Zr 2.62
Ag1 0.5000 0.5000 0.5000  4 As 3.68, 8 Se 3.69

Record 20
Density functional theory data (PBE) for crystalline SiAgAs at its relaxed geometry.

Formation energy from raw total energies: 445 meV/atom
ρ: 6.19 g cm⁻³
Final energy: -3.86 eV/atom
Offset from the most stable computed form: 28.8 kJ/mol of formula units
Magnetic moment: 0.00 μB per formula unit

Unit cell a=5.3569 b=5.3569 c=5.3569 alpha=149.62 beta=132.89 gamma=57.09
Last column: nearest neighbours and their distance in Å.
Fractional positions:
As1 0.3565 0.3565 0.0000  1 Si 2.61, 2 As 2.81
Si1 0.6341 0.6341 0.0000  1 As 2.61, 2 Si 2.81, 4 Ag 2.82
Ag1 0.0094 0.0094 0.0000  2 Ag 2.81, 4 Si 2.82, 4 As 2.94